Density functional theory data (PBE) for a relaxed structure of TiCr2Tc.

Unit cell a=4.2239 b=4.2239 c=2.9912 alpha=90.00 beta=90.00 gamma=90.00
Closest atoms and distances in Å follow each position.
Positions (direct):
Ti: 0.0000 0.0000 0.0000  8 Cr 2.59
Cr: 0.0000 0.5000 0.5000  4 Tc 2.59, 4 Ti 2.59
Cr: 0.5000 0.0000 0.5000  4 Tc 2.59, 4 Ti 2.59
Tc: 0.5000 0.5000 0.0000  8 Cr 2.59

Distance to the lowest polymorph of the same formula: 0.017 eV/atom
SG: P4/mmm (123)
Formation energy: -0.4 eV per formula unit
Crystal system: tetragonal

=====

Density functional theory data (PBE) for a relaxed structure of BeInRe2.

Unit cell a=2.8034 b=4.2206 c=5.2402 alpha=90.00 beta=99.97 gamma=90.00
Closest atoms and distances in Å follow each position.
Positions (direct):
Be: 0.0000 0.0000 0.0000  4 Re 2.50, 2 In 2.75
In: 0.5000 0.0000 0.5000  2 Be 2.75, 2 In 2.80, 8 Re 2.81-3.07
Re: 0.1916 0.5000 0.7846  2 Be 2.50, 2 Re 2.60-2.66
Re: 0.8084 0.5000 0.2154  2 Be 2.50, 2 Re 2.60-2.66

Distance to the lowest polymorph of the same formula: 0.438 eV/atom
SG: P2/m (10)
Formation energy: 2.1 eV per formula unit
Crystal system: monoclinic

=====

Density functional theory data (PBE) for a relaxed structure of Zr3Ta5N12.

Unit cell a=10.9450 b=10.9450 c=10.9450 alpha=109.47 beta=109.47 gamma=109.47
Closest atoms and distances in Å follow each position.
Positions (direct):
Zr: 0.1250 0.2500 0.3750  8 N 2.42
Zr: 0.1250 0.3750 0.7500  8 N 2.42
Zr: 0.2500 0.3750 0.1250  8 N 2.42
Zr: 0.2500 0.8750 0.6250  8 N 2.42
Zr: 0.3750 0.1250 0.2500  8 N 2.42
Zr: 0.3750 0.7500 0.1250  8 N 2.42
Zr: 0.6250 0.2500 0.8750  8 N 2.42
Zr: 0.6250 0.8750 0.7500  8 N 2.42
Zr: 0.7500 0.1250 0.3750  8 N 2.42
Zr: 0.7500 0.6250 0.8750  8 N 2.42
Zr: 0.8750 0.6250 0.2500  8 N 2.42
Zr: 0.8750 0.7500 0.6250  8 N 2.42
Ta: 0.0000 0.0000 0.0000  6 N 2.09
Ta: 0.0000 0.0000 0.5000  6 N 2.09
Ta: 0.0000 0.5000 0.0000  6 N 2.09
Ta: 0.0000 0.5000 0.5000  6 N 2.09
Ta: 0.1250 0.7500 0.8750  4 N 1.93
Ta: 0.1250 0.8750 0.2500  4 N 1.93
Ta: 0.2500 0.1250 0.8750  4 N 1.93
Ta: 0.2500 0.6250 0.3750  4 N 1.93
Ta: 0.3750 0.2500 0.6250  4 N 1.93
Ta: 0.3750 0.6250 0.7500  4 N 1.93
Ta: 0.5000 0.0000 0.0000  6 N 2.09
Ta: 0.5000 0.0000 0.5000  6 N 2.09
Ta: 0.5000 0.5000 0.0000  6 N 2.09
Ta: 0.5000 0.5000 0.5000  6 N 2.09
Ta: 0.6250 0.3750 0.2500  4 N 1.93
Ta: 0.6250 0.7500 0.3750  4 N 1.93
Ta: 0.7500 0.3750 0.6250  4 N 1.93
Ta: 0.7500 0.8750 0.1250  4 N 1.93
Ta: 0.8750 0.1250 0.7500  4 N 1.93
Ta: 0.8750 0.2500 0.1250  4 N 1.93
N: 0.0356 0.2134 0.1240  2 Ta 1.93-2.09
N: 0.0356 0.3222 0.9115  2 Ta 1.93-2.09
N: 0.0885 0.6240 0.4107  2 Ta 1.93-2.09
N: 0.0885 0.9644 0.6778  2 Ta 1.93-2.09
N: 0.0893 0.7134 0.6778  2 Ta 1.93-2.09
N: 0.0893 0.8760 0.4115  2 Ta 1.93-2.09
N: 0.1240 0.0356 0.2134  2 Ta 1.93-2.09
N: 0.1240 0.5885 0.9107  2 Ta 1.93-2.09
N: 0.1778 0.2134 0.5893  2 Ta 1.93-2.09
N: 0.1778 0.4644 0.5885  2 Ta 1.93-2.09
N: 0.2134 0.1240 0.0356  2 Ta 1.93-2.09
N: 0.2134 0.5893 0.1778  2 Ta 1.93-2.09
N: 0.2866 0.3222 0.9107  2 Ta 1.93-2.09
N: 0.2866 0.4644 0.3760  2 Ta 1.93-2.09
N: 0.3222 0.9107 0.2866  2 Ta 1.93-2.09
N: 0.3222 0.9115 0.0356  2 Ta 1.93-2.09
N: 0.3760 0.2866 0.4644  2 Ta 1.93-2.09
N: 0.3760 0.5893 0.9115  2 Ta 1.93-2.09
N: 0.4107 0.0885 0.6240  2 Ta 1.93-2.09
N: 0.4107 0.8222 0.7866  2 Ta 1.93-2.09
N: 0.4115 0.0893 0.8760  2 Ta 1.93-2.09
N: 0.4115 0.8222 0.5356  2 Ta 1.93-2.09
N: 0.4644 0.3760 0.2866  2 Ta 1.93-2.09
N: 0.4644 0.5885 0.1778  2 Ta 1.93-2.09
N: 0.5356 0.4115 0.8222  2 Ta 1.93-2.09
N: 0.5356 0.6240 0.7134  2 Ta 1.93-2.09
N: 0.5885 0.1778 0.4644  2 Ta 1.93-2.09
N: 0.5885 0.9107 0.1240  2 Ta 1.93-2.09
N: 0.5893 0.1778 0.2134  2 Ta 1.93-2.09
N: 0.5893 0.9115 0.3760  2 Ta 1.93-2.09
N: 0.6240 0.4107 0.0885  2 Ta 1.93-2.09
N: 0.6240 0.7134 0.5356  2 Ta 1.93-2.09
N: 0.6778 0.0885 0.9644  2 Ta 1.93-2.09
N: 0.6778 0.0893 0.7134  2 Ta 1.93-2.09
N: 0.7134 0.5356 0.6240  2 Ta 1.93-2.09
N: 0.7134 0.6778 0.0893  2 Ta 1.93-2.09
N: 0.7866 0.4107 0.8222  2 Ta 1.93-2.09
N: 0.7866 0.8760 0.9644  2 Ta 1.93-2.09
N: 0.8222 0.5356 0.4115  2 Ta 1.93-2.09
N: 0.8222 0.7866 0.4107  2 Ta 1.93-2.09
N: 0.8760 0.4115 0.0893  2 Ta 1.93-2.09
N: 0.8760 0.9644 0.7866  2 Ta 1.93-2.09
N: 0.9107 0.1240 0.5885  2 Ta 1.93-2.09
N: 0.9107 0.2866 0.3222  2 Ta 1.93-2.09
N: 0.9115 0.0356 0.3222  2 Ta 1.93-2.09
N: 0.9115 0.3760 0.5893  2 Ta 1.93-2.09
N: 0.9644 0.6778 0.0885  2 Ta 1.93-2.09
N: 0.9644 0.7866 0.8760  2 Ta 1.93-2.09

SG: Ia-3d (230)
E_form (uncorrected): -1.077 eV per atom
Crystal system: cubic

=====

Density functional theory data (PBE) for a relaxed structure of Dy3HoTm3.

Unit cell a=9.4740 b=9.4740 c=5.5802 alpha=90.00 beta=90.00 gamma=120.00
Closest atoms and distances in Å follow each position.
Positions (direct):
Dy: 0.0480 0.8084 0.2500  5 Tm 3.47-3.59, 6 Dy 3.48-3.60, 1 Ho 3.57
Dy: 0.1916 0.2396 0.2500  5 Tm 3.47-3.59, 6 Dy 3.48-3.60, 1 Ho 3.57
Dy: 0.2396 0.0480 0.7500  5 Tm 3.47-3.59, 6 Dy 3.48-3.60, 1 Ho 3.57
Dy: 0.7604 0.9520 0.2500  5 Tm 3.47-3.59, 6 Dy 3.48-3.60, 1 Ho 3.57
Dy: 0.8084 0.7604 0.7500  5 Tm 3.47-3.59, 6 Dy 3.48-3.60, 1 Ho 3.57
Dy: 0.9520 0.1916 0.7500  5 Tm 3.47-3.59, 6 Dy 3.48-3.60, 1 Ho 3.57
Ho: 0.3333 0.6667 0.2500  9 Tm 3.47-3.58, 3 Dy 3.57
Ho: 0.6667 0.3333 0.7500  9 Tm 3.47-3.58, 3 Dy 3.57
Tm: 0.0950 0.6185 0.7500  5 Dy 3.47-3.59, 4 Tm 3.47-3.58, 3 Ho 3.47-3.58
Tm: 0.3815 0.4765 0.7500  5 Dy 3.47-3.59, 4 Tm 3.47-3.58, 3 Ho 3.47-3.58
Tm: 0.4765 0.0950 0.2500  5 Dy 3.47-3.59, 4 Tm 3.47-3.58, 3 Ho 3.47-3.58
Tm: 0.5235 0.9050 0.7500  5 Dy 3.47-3.59, 4 Tm 3.47-3.58, 3 Ho 3.47-3.58
Tm: 0.6185 0.5235 0.2500  5 Dy 3.47-3.59, 4 Tm 3.47-3.58, 3 Ho 3.47-3.58
Tm: 0.9050 0.3815 0.2500  5 Dy 3.47-3.59, 4 Tm 3.47-3.58, 3 Ho 3.47-3.58

Distance to the lowest polymorph of the same formula: 0.000 eV/atom
SG: P6_3/m (176)
Formation energy: 0.0 eV per formula unit
Crystal system: hexagonal